Here is a relaxed structure of Zn3Cu3Rh from the Alexandria database. Energies are from PBE.

Cell: 6.0308 6.0308 5.3656 Å, 90.01 90.01 92.15°
Closest atoms and distances in Å follow each position.
Element x y z (fractional)
Zn  0.0000  0.5000  0.2586  6 Cu 2.52-2.60, 2 Rh 2.59, 2 Zn 2.59-2.78
Rh  0.2804  0.2804  0.0000  6 Zn 2.59-2.68, 4 Cu 2.64-2.70
Cu  0.2816  0.7184  0.0000  6 Zn 2.52-2.76, 2 Rh 2.64, 2 Cu 2.74
Cu  0.2480  0.2480  0.5000  2 Cu 2.49, 6 Zn 2.50-2.53, 2 Rh 2.70
Zn  0.5000  0.0000  0.7414  6 Cu 2.52-2.60, 2 Rh 2.59, 2 Zn 2.59-2.78
Zn  0.0000  0.5000  0.7414  6 Cu 2.52-2.60, 2 Rh 2.59, 2 Zn 2.59-2.78
Zn  0.0000  0.0000  0.7604  4 Cu 2.50-2.76, 2 Zn 2.57-2.79, 2 Rh 2.68
Cu  0.6517  0.3483  0.5000  5 Cu 2.49-2.74, 4 Zn 2.60
Cu  0.7520  0.7520  0.5000  2 Cu 2.49, 6 Zn 2.50-2.53, 2 Rh 2.70
Zn  0.5000  0.0000  0.2586  6 Cu 2.52-2.60, 2 Rh 2.59, 2 Zn 2.59-2.78
Cu  0.7184  0.2816  0.0000  6 Zn 2.52-2.76, 2 Rh 2.64, 2 Cu 2.74
Zn  0.0000  0.0000  0.2396  4 Cu 2.50-2.76, 2 Zn 2.57-2.79, 2 Rh 2.68
Rh  0.7196  0.7196  0.0000  6 Zn 2.59-2.68, 4 Cu 2.64-2.70
Cu  0.3483  0.6517  0.5000  5 Cu 2.49-2.74, 4 Zn 2.60

Properties
Its relative energy among the computed polymorphs is 0.000 eV/atom. For the energy, the calculation gives -47.58 eV for the cell shown. The formation energy is -0.047 eV per atom. For the total magnetization, the calculation gives 0.00 μB per atom.

=====

Here is a relaxed structure of SmHo2ErTm6 from the Alexandria database. Energies are from PBE.

Cell: 9.4056 8.6822 8.6822 Å, 117.84 93.62 93.62°
Closest atoms and distances in Å follow each position.
Element x y z (fractional)
Tm  0.5577  0.7504  0.1258  7 Tm 3.35-3.65, 1 Ho 3.46, 1 Sm 3.65
Sm  0.7500  0.0249  0.9751  4 Ho 3.34-3.39, 4 Tm 3.53-3.65
Sm  0.2500  0.9751  0.0249  4 Ho 3.34-3.39, 4 Tm 3.53-3.65
Tm  0.1834  0.5682  0.0195  4 Tm 3.17-3.54, 2 Ho 3.34-3.53, 1 Er 3.43, 1 Sm 3.53
Ho  0.9539  0.6952  0.8023  6 Tm 3.23-3.53, 2 Sm 3.34-3.39, 1 Er 3.49
Tm  0.4423  0.2496  0.8742  7 Tm 3.35-3.65, 1 Ho 3.46, 1 Sm 3.65
Tm  0.0577  0.1258  0.7504  7 Tm 3.35-3.65, 1 Ho 3.46, 1 Sm 3.65
Ho  0.0461  0.3048  0.1977  6 Tm 3.23-3.53, 2 Sm 3.34-3.39, 1 Er 3.49
Tm  0.6178  0.4926  0.7096  4 Tm 3.17-3.45, 3 Ho 3.23-3.38, 2 Er 3.38-3.48
Tm  0.1178  0.7096  0.4926  4 Tm 3.17-3.45, 3 Ho 3.23-3.38, 2 Er 3.38-3.48
Ho  0.5461  0.1977  0.3048  6 Tm 3.23-3.53, 2 Sm 3.34-3.39, 1 Er 3.49
Tm  0.9423  0.8742  0.2496  7 Tm 3.35-3.65, 1 Ho 3.46, 1 Sm 3.65
Tm  0.3166  0.9805  0.4318  4 Tm 3.17-3.54, 2 Ho 3.34-3.53, 1 Er 3.43, 1 Sm 3.53
Tm  0.8166  0.4318  0.9805  4 Tm 3.17-3.54, 2 Ho 3.34-3.53, 1 Er 3.43, 1 Sm 3.53
Tm  0.3822  0.5074  0.2904  4 Tm 3.17-3.45, 3 Ho 3.23-3.38, 2 Er 3.38-3.48
Tm  0.8822  0.2904  0.5074  4 Tm 3.17-3.45, 3 Ho 3.23-3.38, 2 Er 3.38-3.48
Ho  0.4539  0.8023  0.6952  6 Tm 3.23-3.53, 2 Sm 3.34-3.39, 1 Er 3.49
Er  0.2500  0.4096  0.5904  8 Tm 3.38-3.77, 2 Ho 3.49
Tm  0.6834  0.0195  0.5682  4 Tm 3.17-3.54, 2 Ho 3.34-3.53, 1 Er 3.43, 1 Sm 3.53
Er  0.7500  0.5904  0.4096  8 Tm 3.38-3.77, 2 Ho 3.49

Properties
For the energy, the calculation gives -88.07 eV for the cell shown. The formation energy is 0.123 eV per atom. For the total magnetization, the calculation gives 0.00 μB per atom.

=====

Here is a relaxed structure of Ge2SBrO from the Alexandria database. Energies are from PBE.

Cell: 5.0739 4.8225 5.0739 Å, 90.00 90.00 90.00°
Closest atoms and distances in Å follow each position.
Element x y z (fractional)
Ge  0.5000  0.0000  0.0000  2 S 2.54
S  0.0000  0.0000  0.0000  2 Br 2.41, 4 Ge 2.54
Br  0.0000  0.5000  0.0000  2 S 2.41
Ge  0.0000  0.0000  0.5000  2 S 2.54
O  0.5000  0.5000  0.5000  8 Ge 3.50, 4 Br 3.59

Properties
For the energy, the calculation gives -15.62 eV for the cell shown. For the uncorrected formation energy, the calculation gives 84.4 kJ per mole of atoms. For the total magnetization, the calculation gives 0.00 μB per atom.

=====

Here is a relaxed structure of Sr2InHPb from the Alexandria database. Energies are from PBE.

Cell: 5.2518 5.2518 4.8791 Å, 90.00 90.00 90.00°
Closest atoms and distances in Å follow each position.
Element x y z (fractional)
H  0.0000  0.0000  0.0000  2 In 2.44, 4 Sr 2.63
In  0.0000  0.0000  0.5000  2 H 2.44
Sr  0.0000  0.5000  0.0000  2 H 2.63
Sr  0.5000  0.0000  0.0000  2 H 2.63
Pb  0.5000  0.5000  0.5000  8 Sr 3.58, 4 In 3.71

Properties
For the energy, the calculation gives -15.08 eV for the cell shown. For the total magnetization, the calculation gives 0.00 μB per atom.

=====

Among the records above, which one has the highest energy?
Sr2InHPb